1.
Here is an optimized crystal structure of K6CdBr8 from Alexandria. Energies are from PBE.

- uncorrected formation energy (eV per atom) = -1.54
- size of the total moment (μB/atom) = 0.00

Lattice parameters (Å, degrees): 8.5874 8.5874 8.5874 69.30 69.30 69.30
Sites, in units of the cell vectors:
K 0.0206 0.8013 0.4415
K 0.1987 0.5585 0.9794
K 0.4415 0.0206 0.8013
K 0.5585 0.9794 0.1987
K 0.8013 0.4415 0.0206
K 0.9794 0.1987 0.5585
Cd 0.5000 0.5000 0.5000
Br 0.1583 0.1583 0.1583
Br 0.1832 0.4034 0.6592
Br 0.3408 0.8168 0.5966
Br 0.4034 0.6592 0.1832
Br 0.5966 0.3408 0.8168
Br 0.6592 0.1832 0.4034
Br 0.8168 0.5966 0.3408
Br 0.8417 0.8417 0.8417

=====

2.
Here is an optimized crystal structure of KLaCd2Br8 from Alexandria. Energies are from PBE.

- uncorrected formation energy (eV per atom) = -1.32
- size of the total moment (μB/atom) = 0.00

Lattice parameters (Å, degrees): 6.6933 7.0956 8.7808 89.81 89.74 89.39
Sites, in units of the cell vectors:
K 0.0000 0.0000 0.0000
La 0.0000 0.0000 0.5000
Cd 0.4988 0.4995 0.2446
Cd 0.5012 0.5005 0.7554
Br 0.2588 0.8267 0.7295
Br 0.2604 0.8280 0.2697
Br 0.2688 0.3445 0.4999
Br 0.2685 0.3758 0.0000
Br 0.7315 0.6242 0.0000
Br 0.7312 0.6555 0.5001
Br 0.7396 0.1720 0.7303
Br 0.7412 0.1733 0.2705

=====

3.
Here is an optimized crystal structure of K3Li3CdBr8 from Alexandria. Energies are from PBE.

- uncorrected formation energy (eV per atom) = -1.45
- size of the total moment (μB/atom) = 0.00

Lattice parameters (Å, degrees): 8.3040 8.3040 8.9003 117.83 117.83 59.83
Sites, in units of the cell vectors:
K 0.0000 0.0000 0.0000
K 0.0000 0.5000 0.0000
K 0.5000 0.0000 0.0000
Li 0.0000 0.5000 0.5000
Li 0.5000 0.0000 0.5000
Li 0.5000 0.5000 0.5000
Cd 0.0000 0.0000 0.5000
Br 0.2339 0.2339 0.7018
Br 0.2349 0.7339 0.7024
Br 0.2645 0.2645 0.2949
Br 0.2661 0.7651 0.2976
Br 0.7339 0.2349 0.7024
Br 0.7355 0.7355 0.7051
Br 0.7651 0.2661 0.2976
Br 0.7661 0.7661 0.2982

=====

4.
Here is an optimized crystal structure of KLiCd2Br6 from Alexandria. Energies are from PBE.

- uncorrected formation energy (eV per atom) = -1.12
- size of the total moment (μB/atom) = 0.00

Lattice parameters (Å, degrees): 7.7599 7.7599 7.7599 56.88 56.88 56.88
Sites, in units of the cell vectors:
K 0.0000 0.0000 0.0000
Li 0.4665 0.4665 0.4665
Cd 0.2756 0.2756 0.2756
Cd 0.7903 0.7903 0.7903
Br 0.0673 0.6287 0.4473
Br 0.1849 0.5484 0.8925
Br 0.4473 0.0673 0.6287
Br 0.5484 0.8925 0.1849
Br 0.6287 0.4473 0.0673
Br 0.8925 0.1849 0.5484

=====

- Among the records above, which one has the highest uncorrected formation energy?
  KLiCd2Br6